{"formula": "Sc2MnCl", "functional": "PBE-GGA", "state": "relaxed", "raw_formation_energy_ev_per_atom": -0.331, "lattice_angstrom": [[4.640, 0.000, 0.000], [0.000, 3.120, 0.000], [0.000, 0.000, 9.969]], "species": ["Sc", "Sc", "Sc", "Sc", "Mn", "Mn", "Cl", "Cl"], "fractional_positions": [[0.000, 0.000, 0.000], [0.000, 0.500, 0.500], [0.500, 0.000, 0.277], [0.500, 0.500, 0.777], [0.000, 0.000, 0.741], [0.000, 0.500, 0.241], [0.500, 0.000, 0.544], [0.500, 0.500, 0.044]]}